(1)
## Sc4PRh (PBE)

Data for crystalline Sc4PRh at its relaxed geometry.

Geometry as extended XYZ:
```
6
Lattice="0.0000 3.8857 3.8857 3.8857 0.0000 3.8857 3.8857 3.8857 0.0000" Properties=species:S:1:pos:R:3 pbc="T T T"
Sc 0.9740 0.9740 0.9740
Sc 2.9117 2.9117 0.9740
Sc 2.9117 0.9740 2.9117
Sc 0.9740 2.9117 2.9117
P 5.8286 5.8286 5.8286
Rh 3.8857 3.8857 3.8857
```

Properties
For the formation energy, the calculation gives 1.65 eV per formula unit. The energy is -36.437 eV/cell.

---

(2)
## Pr6Ni2PtI3 (PBE)

Data for crystalline Pr6Ni2PtI3 at its relaxed geometry.

Geometry as extended XYZ:
```
12
Lattice="3.6561 -6.3359 0.0000 3.6561 6.3359 0.0000 -2.4390 0.0000 8.1420" Properties=species:S:1:pos:R:3 pbc="T T T"
Pr -0.0354 2.1697 6.6451
Pr 1.1512 0.0000 1.4952
Pr -0.0354 -2.1697 6.6451
Pr 4.9086 2.1697 1.4969
Pr 3.7220 0.0000 6.6468
Pr 4.9086 -2.1697 1.4969
Ni 3.6561 4.2242 0.0000
Ni 3.6561 -4.2242 0.0000
Pt 3.6561 0.0000 0.0000
I -1.2195 0.0000 4.0710
I 2.4366 2.1126 4.0710
I 2.4366 -2.1126 4.0710
```

Properties
The energy is -60.639 eV/cell.

---

(3)
## RbAcBr2O (PBE)

Data for crystalline RbAcBr2O at its relaxed geometry.

Geometry as extended XYZ:
```
10
Lattice="4.4842 0.0000 0.0000 0.0000 4.4842 0.0000 0.0000 0.0000 15.3752" Properties=species:S:1:pos:R:3 pbc="T T T"
Rb 1.1210 1.1210 1.5792
Rb 3.3631 3.3631 13.7960
Ac 1.1210 1.1210 8.8467
Ac 3.3631 3.3631 6.5285
Br 1.1210 1.1210 5.0355
Br 1.1210 1.1210 13.3000
Br 3.3631 3.3631 2.0752
Br 3.3631 3.3631 10.3397
O 1.1210 3.3631 7.6876
O 3.3631 1.1210 7.6876
```

Properties
The energy is -50.735 eV/cell.

---

(4)
## Ac4CdIn3 (PBE)

Data for crystalline Ac4CdIn3 at its relaxed geometry.

Geometry as extended XYZ:
```
16
Lattice="17.5689 0.0000 0.0000 0.0000 5.7705 0.0000 -1.8869 0.0000 5.4532" Properties=species:S:1:pos:R:3 pbc="T T T"
Ac 1.9578 0.0000 0.6815
Ac 1.0146 2.8852 3.4073
Ac 5.8829 0.0000 2.0459
Ac 4.9397 2.8852 4.7717
Ac 9.7991 0.0000 3.4073
Ac 10.7423 2.8852 0.6815
Ac 13.7242 0.0000 4.7717
Ac 14.6673 2.8852 2.0459
Cd -0.9435 0.0000 2.7266
Cd 7.8410 2.8852 2.7266
In 0.0000 2.8852 0.0000
In 2.9519 0.0000 4.0807
In 3.9456 2.8852 1.3725
In 8.7845 0.0000 0.0000
In 11.7364 2.8852 4.0807
In 12.7301 0.0000 1.3725
```

Properties
For the formation energy, the calculation gives -3.11 eV per formula unit. For the relative energy among the computed polymorphs, the calculation gives 0.000 eV per atom. The energy is -57.342 eV/cell.

---

(5)
## Ni2OsCl (PBE)

Data for crystalline Ni2OsCl at its relaxed geometry.

Geometry as extended XYZ:
```
8
Lattice="2.8014 0.0000 0.0000 0.0000 4.7820 0.0000 0.0000 0.0000 8.0878" Properties=species:S:1:pos:R:3 pbc="T T T"
Ni 0.0000 0.0000 1.9777
Ni 0.0000 0.0000 6.1101
Ni 1.4007 2.3910 1.9777
Ni 1.4007 2.3910 6.1101
Os 0.0000 2.3910 4.0439
Os 1.4007 0.0000 4.0439
Cl 0.0000 2.3910 0.0000
Cl 1.4007 0.0000 0.0000
```

Properties
For the relative energy among the computed polymorphs, the calculation gives 0.210 eV per atom. The energy is -45.441 eV/cell.

---

(6)
## MgWCl2 (PBE)

Data for crystalline MgWCl2 at its relaxed geometry.

Geometry as extended XYZ:
```
8
Lattice="2.9843 0.0000 0.0000 0.0000 5.7217 0.0000 0.0000 0.0000 9.8816" Properties=species:S:1:pos:R:3 pbc="T T T"
Mg 0.0000 0.0000 0.0000
Mg 1.4922 2.8608 0.0000
W 0.0000 0.0000 4.9408
W 1.4922 2.8608 4.9408
Cl 0.0000 2.8608 2.9771
Cl 0.0000 2.8608 6.9046
Cl 1.4922 0.0000 2.9771
Cl 1.4922 0.0000 6.9046
```

Properties
For the relative energy among the computed polymorphs, the calculation gives 0.264 eV per atom. The energy is -35.973 eV/cell.

---

(7)
## Pm4Nd5In2 (PBE)

Data for crystalline Pm4Nd5In2 at its relaxed geometry.

Geometry as extended XYZ:
```
11
Lattice="11.8145 -1.8007 0.0000 11.8145 1.8007 0.0000 -0.7741 0.0000 8.4790" Properties=species:S:1:pos:R:3 pbc="T T T"
Pm 0.5898 0.0000 2.9719
Pm 6.2125 0.0000 1.5010
Pm 16.6423 0.0000 6.9779
Pm 22.2650 0.0000 5.5070
Nd 2.9897 0.0000 0.1158
Nd 3.8852 0.0000 4.0831
Nd 11.8145 0.0000 0.0000
Nd 18.9696 0.0000 4.3959
Nd 19.8651 0.0000 8.3632
In 9.5228 0.0000 2.6982
In 13.3320 0.0000 5.7808
```

Properties
For the formation energy, the calculation gives -0.79 eV per formula unit. The energy is -49.108 eV/cell.

---

(8)
## Cd2TcBr (PBE)

Data for crystalline Cd2TcBr at its relaxed geometry.

Geometry as extended XYZ:
```
12
Lattice="3.1164 0.0000 0.0000 -1.5582 2.6988 0.0000 0.0000 0.0000 31.3219" Properties=species:S:1:pos:R:3 pbc="T T T"
Cd 0.0000 0.0000 0.0000
Cd 0.0000 0.0000 7.6099
Cd 0.0000 1.7992 20.8813
Cd 0.0000 1.7992 28.4912
Cd 1.5582 0.8996 10.4406
Cd 1.5582 0.8996 18.0505
Tc 0.0000 0.0000 15.7630
Tc 0.0000 1.7992 5.3224
Tc 1.5582 0.8996 26.2037
Br 0.0000 0.0000 24.4230
Br 0.0000 1.7992 13.9824
Br 1.5582 0.8996 3.5418
```

Properties
For the relative energy among the computed polymorphs, the calculation gives 0.043 eV per atom. The energy is -38.172 eV/cell.